#i
# SrBeS2Cl, optimized geometry, DFT PBE
data_SrBeS2Cl
_space_group_name_H-M_alt 'P 4/m m m'
_space_group_IT_number 123
_space_group_name_Hall '-P 4 2'
_cell_length_a 5.820
_cell_length_b 5.820
_cell_length_c 5.575
_cell_angle_alpha 90.00
_cell_angle_beta 90.00
_cell_angle_gamma 90.00
loop_
_atom_site_label
_atom_site_fract_x
_atom_site_fract_y
_atom_site_fract_z
_atom_site_occupancy
Sr1 0.000 0.000 0.000 1
Be1 0.500 0.500 0.500 1
S1 0.000 0.500 0.000 1
Cl1 0.000 0.000 0.500 1
# * size of the total moment: 0.6047 μB/atom
# * calculated volume: 188.8 Å³ per cell
# * DOS(E_F): 4.43 states/eV/cell
# * density: 1.7 g/cm3

***

#ii
# SrBeS2Cl, optimized geometry, DFT PBE
data_SrBeS2Cl
_space_group_name_H-M_alt 'P 4/m m m'
_space_group_IT_number 123
_space_group_name_Hall '-P 4 2'
_cell_length_a 4.377
_cell_length_b 4.377
_cell_length_c 5.160
_cell_angle_alpha 90.00
_cell_angle_beta 90.00
_cell_angle_gamma 90.00
loop_
_atom_site_label
_atom_site_fract_x
_atom_site_fract_y
_atom_site_fract_z
_atom_site_occupancy
Sr1 0.000 0.000 0.000 1
Be1 0.500 0.500 0.500 1
S1 0.000 0.500 0.500 1
Cl1 0.500 0.500 0.000 1
# * size of the total moment: 0.0000 μB/atom
# * calculated volume: 98.8 Å³ per cell
# * DOS(E_F): 1.93 states/eV/cell
# * density: 3.3 g/cm3

***

Least stable of them? #i.

***

#i
# TaBeS2Cl, optimized geometry, DFT PBE
data_TaBeS2Cl
_space_group_name_H-M_alt 'P 4/m m m'
_space_group_IT_number 123
_space_group_name_Hall '-P 4 2'
_cell_length_a 4.450
_cell_length_b 4.450
_cell_length_c 4.056
_cell_angle_alpha 90.00
_cell_angle_beta 90.00
_cell_angle_gamma 90.00
loop_
_atom_site_label
_atom_site_fract_x
_atom_site_fract_y
_atom_site_fract_z
_atom_site_occupancy
Ta1 0.000 0.000 0.000 1
Be1 0.500 0.500 0.500 1
S1 0.000 0.500 0.500 1
Cl1 0.500 0.500 0.000 1
# * size of the total moment: 0.3671 μB/atom
# * calculated volume: 80.3 Å³ per cell
# * DOS(E_F): 2.54 states/eV/cell
# * density: 6.0 g/cm3

***

#ii
# TaBeS2Cl, optimized geometry, DFT PBE
data_TaBeS2Cl
_space_group_name_H-M_alt 'P 4/m m m'
_space_group_IT_number 123
_space_group_name_Hall '-P 4 2'
_cell_length_a 4.788
_cell_length_b 4.788
_cell_length_c 4.875
_cell_angle_alpha 90.00
_cell_angle_beta 90.00
_cell_angle_gamma 90.00
loop_
_atom_site_label
_atom_site_fract_x
_atom_site_fract_y
_atom_site_fract_z
_atom_site_occupancy
Ta1 0.000 0.000 0.000 1
Be1 0.500 0.500 0.500 1
S1 0.000 0.500 0.000 1
Cl1 0.000 0.000 0.500 1
# * size of the total moment: 0.0053 μB/atom
# * calculated volume: 111.7 Å³ per cell
# * DOS(E_F): 2.80 states/eV/cell
# * density: 4.3 g/cm3

***

Least stable of them? #i.